No. 1
{
  "formula": "BeAlW2",
  "functional": "GGA-PBE",
  "state": "relaxed",
  "formation_enthalpy_0k_ev_per_atom": 0.620,
  "sg": "No. 122",
  "lattice_angstrom": [[-3.523, 0.118, 1.129], [-0.373, -3.596, -0.791], [0.710, -3.889, 8.692]],
  "species": ["W", "W", "W", "W", "Al", "Al", "Be", "Be"],
  "fractional_positions": [[0.130, 0.625, 0.250], [0.375, 0.380, 0.750], [0.620, 0.125, 0.250], [0.875, 0.870, 0.750], [0.750, 0.250, 0.500], [0.000, 0.000, 0.000], [0.500, 0.500, 0.000], [0.250, 0.750, 0.500]]
}

No. 2
{
  "formula": "Ca3Ga3N5",
  "functional": "GGA-PBE",
  "state": "relaxed",
  "e_form_raw_mev_per_atom": -665,
  "sg": "No. 2",
  "lattice_angstrom": [[5.914, -0.003, 0.002], [-0.625, 6.864, -0.006], [-2.257, -2.769, 7.695]],
  "species": ["Ca", "Ca", "Ca", "Ca", "Ca", "Ca", "Ga", "Ga", "Ga", "Ga", "Ga", "Ga", "N", "N", "N", "N", "N", "N", "N", "N", "N", "N"],
  "fractional_positions": [[0.344, 0.362, 0.803], [0.656, 0.638, 0.197], [0.181, 0.588, 0.392], [0.660, 0.865, 0.879], [0.340, 0.135, 0.121], [0.819, 0.412, 0.608], [0.865, 0.132, 0.284], [0.135, 0.868, 0.716], [0.712, 0.944, 0.563], [0.906, 0.312, 0.969], [0.094, 0.688, 0.031], [0.288, 0.056, 0.437], [0.150, 0.305, 0.490], [0.604, 0.068, 0.383], [0.716, 0.229, 0.098], [0.756, 0.529, 0.890], [0.284, 0.771, 0.902], [0.030, 0.895, 0.221], [0.244, 0.471, 0.110], [0.970, 0.105, 0.779], [0.850, 0.695, 0.510], [0.396, 0.932, 0.617]]
}

No. 3
{
  "formula": "TaBe2Cd",
  "functional": "GGA-PBE",
  "state": "relaxed",
  "formation_enthalpy_0k_ev_per_atom": 0.246,
  "sg": "No. 47",
  "lattice_angstrom": [[-2.944, 0.760, 2.269], [-1.584, -1.889, -1.422], [1.632, -3.974, 3.449]],
  "species": ["Be", "Be", "Cd", "Ta"],
  "fractional_positions": [[0.000, 0.249, 0.940], [0.000, 0.251, 0.560], [0.500, 0.250, 0.250], [0.500, 0.750, 0.750]]
}

No. 4
{
  "formula": "Nd6Sm2Ho3Tm",
  "functional": "GGA-PBE",
  "state": "relaxed",
  "formation_enthalpy_0k_ev_per_atom": 0.013,
  "sg": "No. 12",
  "lattice_angstrom": [[6.281, -0.001, 0.005], [-3.140, 5.439, 0.005], [-1.054, -1.825, 11.712]],
  "species": ["Tm", "Nd", "Nd", "Nd", "Nd", "Nd", "Nd", "Ho", "Ho", "Ho", "Sm", "Sm"],
  "fractional_positions": [[0.000, 0.000, 0.000], [0.584, 0.916, 0.749], [0.416, 0.084, 0.251], [0.751, 0.751, 0.252], [0.084, 0.416, 0.251], [0.249, 0.249, 0.748], [0.916, 0.584, 0.749], [0.500, 0.500, 0.500], [0.834, 0.166, 0.500], [0.166, 0.834, 0.500], [0.333, 0.667, 0.000], [0.667, 0.333, 0.000]]
}

No. 5
{
  "formula": "LaPr2Ag",
  "functional": "GGA-PBE",
  "state": "relaxed",
  "formation_enthalpy_0k_ev_per_atom": -0.092,
  "polymorph_energy_ev_per_fu": 0.064,
  "sg": "No. 62",
  "lattice_angstrom": [[-1.644, -6.323, 1.322], [5.645, -2.272, -3.848], [6.189, 0.258, 8.927]],
  "species": ["Ag", "Ag", "Ag", "Ag", "La", "La", "La", "La", "Pr", "Pr", "Pr", "Pr", "Pr", "Pr", "Pr", "Pr"],
  "fractional_positions": [[0.404, 0.896, 0.250], [0.596, 0.104, 0.750], [0.904, 0.604, 0.750], [0.096, 0.396, 0.250], [0.367, 0.486, 0.750], [0.867, 0.014, 0.250], [0.633, 0.514, 0.250], [0.133, 0.986, 0.750], [0.839, 0.307, 0.542], [0.339, 0.193, 0.458], [0.661, 0.807, 0.958], [0.161, 0.693, 0.458], [0.161, 0.693, 0.042], [0.339, 0.193, 0.042], [0.839, 0.307, 0.958], [0.661, 0.807, 0.542]]
}

No. 6
{
  "formula": "Na2Sr2Sn",
  "functional": "GGA-PBE",
  "state": "relaxed",
  "formation_enthalpy_0k_ev_per_atom": -0.254,
  "polymorph_energy_ev_per_fu": 0.000,
  "sg": "No. 12",
  "lattice_angstrom": [[5.709, 0.000, 0.000], [2.854, 4.951, 0.178], [2.854, 1.178, 13.533]],
  "species": ["Na", "Na", "Na", "Na", "Sr", "Sr", "Sr", "Sr", "Sn", "Sn"],
  "fractional_positions": [[0.157, 0.157, 0.529], [0.324, 0.324, 0.027], [0.843, 0.843, 0.471], [0.676, 0.676, 0.973], [0.056, 0.057, 0.831], [0.443, 0.446, 0.667], [0.944, 0.943, 0.169], [0.557, 0.554, 0.333], [0.760, 0.763, 0.717], [0.240, 0.237, 0.283]]
}

No. 7
{
  "formula": "Pm3Nd6Sm",
  "functional": "GGA-PBE",
  "state": "relaxed",
  "formation_enthalpy_0k_ev_per_atom": 0.231,
  "polymorph_energy_ev_per_fu": 0.986,
  "sg": "No. 146",
  "lattice_angstrom": [[-9.521, -2.434, 2.336], [-4.793, -7.208, -5.207], [-3.438, -5.960, 1.617]],
  "species": ["Pm", "Pm", "Pm", "Nd", "Nd", "Nd", "Nd", "Nd", "Nd", "Sm"],
  "fractional_positions": [[0.400, 0.400, 0.799], [0.651, 0.651, 0.048], [0.150, 0.150, 0.551], [0.727, 0.073, 0.800], [0.573, 0.226, 0.301], [0.900, 0.573, 0.301], [0.226, 0.900, 0.301], [0.073, 0.400, 0.800], [0.400, 0.727, 0.800], [0.900, 0.900, 0.299]]
}

No. 8
{
  "formula": "TeIrOsPb",
  "functional": "GGA-PBE",
  "state": "relaxed",
  "e_form_raw_mev_per_atom": 363,
  "polymorph_energy_ev_per_fu": 0.114,
  "sg": "No. 8",
  "lattice_angstrom": [[-5.396, 3.967, 2.839], [-1.605, 0.470, -3.707], [-1.971, -6.781, -0.005]],
  "species": ["Te", "Te", "Os", "Os", "Ir", "Ir", "Pb", "Pb"],
  "fractional_positions": [[0.915, 0.000, 0.994], [0.915, 0.500, 0.494], [0.137, 0.000, 0.400], [0.137, 0.500, 0.900], [0.242, 0.000, 0.767], [0.242, 0.500, 0.267], [0.503, 0.500, 0.684], [0.503, 0.000, 0.184]]
}

No. 9
{
  "formula": "SmDy2Y4Mg",
  "functional": "GGA-PBE",
  "state": "relaxed",
  "formation_enthalpy_0k_ev_per_atom": 0.022,
  "sg": "No. 123",
  "lattice_angstrom": [[4.976, 0.000, 0.000], [0.000, 4.811, 1.302], [0.000, 2.183, 11.024]],
  "species": ["Y", "Y", "Y", "Y", "Sm", "Dy", "Dy", "Mg"],
  "fractional_positions": [[0.000, 0.746, 0.754], [0.500, 0.755, 0.245], [0.500, 0.245, 0.755], [0.000, 0.254, 0.246], [0.000, 0.500, 0.500], [0.000, 0.000, 0.000], [0.500, 0.000, 0.500], [0.500, 0.500, 0.000]]
}

No. 10
{
  "formula": "Pm4Pd6O19",
  "functional": "GGA-PBE",
  "state": "relaxed",
  "e_form_raw_mev_per_atom": -1393,
  "sg": "No. 197",
  "lattice_angstrom": [[-1.876, -4.870, -5.711], [1.944, -4.043, 6.303], [-6.055, 4.537, 1.613]],
  "species": ["Pm", "Pm", "Pm", "Pm", "Pd", "Pd", "Pd", "Pd", "Pd", "Pd", "O", "O", "O", "O", "O", "O", "O", "O", "O", "O", "O", "O", "O", "O", "O", "O", "O", "O", "O"],
  "fractional_positions": [[0.000, 0.679, 0.000], [0.321, 0.321, 0.321], [0.000, 0.000, 0.679], [0.679, 0.000, 0.000], [0.500, 0.840, 0.340], [0.500, 0.160, 0.660], [0.340, 0.500, 0.840], [0.160, 0.660, 0.500], [0.840, 0.340, 0.500], [0.660, 0.500, 0.160], [0.663, 0.663, 0.000], [0.672, 0.398, 0.636], [0.328, 0.964, 0.726], [0.636, 0.672, 0.398], [0.274, 0.238, 0.602], [0.964, 0.726, 0.328], [0.000, 0.337, 0.337], [0.726, 0.328, 0.964], [0.036, 0.364, 0.762], [0.337, 0.000, 0.337], [0.364, 0.762, 0.036], [0.398, 0.636, 0.672], [0.000, 0.663, 0.663], [0.238, 0.602, 0.274], [0.663, 0.000, 0.663], [0.000, 0.000, 0.000], [0.762, 0.036, 0.364], [0.337, 0.337, 0.000], [0.602, 0.274, 0.238]]
}

No. 11
{
  "formula": "CePmAu3",
  "functional": "GGA-PBE",
  "state": "relaxed",
  "formation_enthalpy_0k_ev_per_atom": -0.718,
  "sg": "No. 63",
  "lattice_angstrom": [[3.648, 0.000, -0.502], [0.000, 4.688, 0.000], [0.124, 0.000, 14.397]],
  "species": ["Ce", "Ce", "Au", "Au", "Au", "Au", "Au", "Au", "Pm", "Pm"],
  "fractional_positions": [[0.072, 0.250, 0.144], [0.928, 0.750, 0.856], [0.318, 0.750, 0.636], [0.475, 0.250, 0.951], [0.379, 0.250, 0.759], [0.682, 0.250, 0.364], [0.621, 0.750, 0.241], [0.525, 0.750, 0.049], [0.795, 0.250, 0.589], [0.205, 0.750, 0.411]]
}

No. 12
{
  "formula": "LiReTcRu",
  "functional": "GGA-PBE",
  "state": "relaxed",
  "formation_enthalpy_0k_ev_per_atom": 0.072,
  "sg": "No. 216",
  "lattice_angstrom": [[-1.094, -3.792, -1.624], [2.849, -2.273, -2.221], [1.630, -3.581, 1.654]],
  "species": ["Ru", "Re", "Li", "Tc"],
  "fractional_positions": [[0.750, 0.750, 0.750], [0.500, 0.500, 0.500], [0.000, 0.000, 0.000], [0.250, 0.250, 0.250]]
}

Energy, respectively: -7.72 -5.82 -4.81 -4.67 -4.43 -2.26 -4.53 -6.37 -5.15 -6.37 -4.82 -8.43 eV/atom.
Calculated volume, respectively: 125.8 312.3 59.5 400.2 521.5 381.3 352.8 198.1 249.8 356.4 246.5 55.0 Å³/cell.